A relaxed structure of NaCe4Se5. Source: Alexandria, functional PBE-GGA.

For the total energy, the calculation gives -0.2191 Ha/atom. For the density of states at the Fermi level, the calculation gives 52.7 states/eV/cell. The total magnetization is 4.1 μB/f.u. The calculation puts the raw formation energy at -1714 meV per atom.

Cell and atoms, written as CIF:
```
data_NaCe4Se5
_chemical_formula_sum 'Na2 Ce8 Se10'
_cell_length_a 4.2144
_cell_length_b 4.2144
_cell_length_c 29.7384
_cell_angle_alpha 90.00
_cell_angle_beta 90.00
_cell_angle_gamma 90.00
_symmetry_space_group_name_H-M 'I 4/m m m'
_symmetry_Int_Tables_number 139
_symmetry_space_group_name_Hall '-I 4 2'
loop_
_atom_site_label
_atom_site_type_symbol
_atom_site_fract_x
_atom_site_fract_y
_atom_site_fract_z
Na1 Na 0.0000 0.0000 0.0000
Ce1 Ce 0.0000 0.0000 0.2017
Ce2 Ce 0.0000 0.0000 0.4022
Se1 Se 0.0000 0.0000 0.1004
Se2 Se 0.0000 0.0000 0.3016
Se3 Se 0.0000 0.0000 0.5000
```

***

A relaxed structure of NaCeSe2. Source: Alexandria, functional PBE-GGA.

For the total energy, the calculation gives -0.1894 Ha/atom. For the density of states at the Fermi level, the calculation gives 12.2 states/eV/cell. The total magnetization is 1.0 μB/f.u. The calculation puts the raw formation energy at -1599 meV per atom.

Cell and atoms, written as CIF:
```
data_NaCeSe2
_chemical_formula_sum 'Na2 Ce2 Se4'
_cell_length_a 4.2748
_cell_length_b 4.2748
_cell_length_c 14.3241
_cell_angle_alpha 90.00
_cell_angle_beta 90.00
_cell_angle_gamma 120.00
_symmetry_space_group_name_H-M 'P 63/m m c'
_symmetry_Int_Tables_number 194
_symmetry_space_group_name_Hall '-P 6c 2c'
loop_
_atom_site_label
_atom_site_type_symbol
_atom_site_fract_x
_atom_site_fract_y
_atom_site_fract_z
Na1 Na 0.3333 0.6667 0.2500
Ce1 Ce 0.0000 0.0000 0.0000
Se1 Se 0.3333 0.6667 0.6155
```

***

A relaxed structure of NaCeSe2. Source: Alexandria, functional PBE-GGA.

For the total energy, the calculation gives -0.1832 Ha/atom. For the density of states at the Fermi level, the calculation gives 5.0 states/eV/cell. The total magnetization is 0.9 μB/f.u. The calculation puts the raw formation energy at -1430 meV per atom.

Cell and atoms, written as CIF:
```
data_NaCeSe2
_chemical_formula_sum 'Na1 Ce1 Se2'
_cell_length_a 3.6489
_cell_length_b 3.6489
_cell_length_c 7.4677
_cell_angle_alpha 90.00
_cell_angle_beta 90.00
_cell_angle_gamma 90.00
_symmetry_space_group_name_H-M 'P 4/m m m'
_symmetry_Int_Tables_number 123
_symmetry_space_group_name_Hall '-P 4 2'
loop_
_atom_site_label
_atom_site_type_symbol
_atom_site_fract_x
_atom_site_fract_y
_atom_site_fract_z
Na1 Na 0.0000 0.0000 0.0000
Ce1 Ce 0.0000 0.0000 0.5000
Se1 Se 0.5000 0.5000 0.2708
```

***

A relaxed structure of Na3Ce2SmSe6. Source: Alexandria, functional PBE-GGA.

For the total energy, the calculation gives -0.1873 Ha/atom. For the density of states at the Fermi level, the calculation gives 24.6 states/eV/cell. The total magnetization is 2.0 μB/f.u. The calculation puts the raw formation energy at -1643 meV per atom.

Cell and atoms, written as CIF:
```
data_Na3Ce2SmSe6
_chemical_formula_sum 'Na6 Ce4 Sm2 Se12'
_cell_length_a 7.4151
_cell_length_b 12.8432
_cell_length_c 7.3985
_cell_angle_alpha 90.00
_cell_angle_beta 109.52
_cell_angle_gamma 90.00
_symmetry_space_group_name_H-M 'C 1 2/m 1'
_symmetry_Int_Tables_number 12
loop_
_symmetry_equiv_pos_as_xyz
'x,y,z'
'-x,-y,-z'
'-x,y,-z'
'x,-y,z'
'x+1/2,y+1/2,z'
'-x+1/2,-y+1/2,-z'
'-x+1/2,y+1/2,-z'
'x+1/2,-y+1/2,z'
loop_
_atom_site_label
_atom_site_type_symbol
_atom_site_fract_x
_atom_site_fract_y
_atom_site_fract_z
Na1 Na 0.0000 0.0000 0.0000
Na2 Na 0.0000 0.3337 0.0000
Ce1 Ce 0.0000 0.1667 0.5000
Sm1 Sm 0.0000 0.5000 0.5000
Se1 Se 0.2438 0.3347 0.7353
Se2 Se 0.2477 0.0000 0.7351
```

***

A relaxed structure of Na2CeSmSe4. Source: Alexandria, functional PBE-GGA.

For the total energy, the calculation gives -0.1859 Ha/atom. For the density of states at the Fermi level, the calculation gives 6.0 states/eV/cell. The total magnetization is 1.0 μB/f.u. The calculation puts the raw formation energy at -1655 meV per atom.

Cell and atoms, written as CIF:
```
data_Na2CeSmSe4
_chemical_formula_sum 'Na2 Ce1 Sm1 Se4'
_cell_length_a 7.3915
_cell_length_b 4.2696
_cell_length_c 7.4067
_cell_angle_alpha 90.00
_cell_angle_beta 109.45
_cell_angle_gamma 90.00
_symmetry_space_group_name_H-M 'P 1 2/m 1'
_symmetry_Int_Tables_number 10
loop_
_symmetry_equiv_pos_as_xyz
'x,y,z'
'-x,-y,-z'
'-x,y,-z'
'x,-y,z'
loop_
_atom_site_label
_atom_site_type_symbol
_atom_site_fract_x
_atom_site_fract_y
_atom_site_fract_z
Na1 Na 0.0000 0.0000 0.0000
Na2 Na 0.5000 0.5000 0.0000
Ce1 Ce 0.0000 0.5000 0.5000
Sm1 Sm 0.5000 0.0000 0.5000
Se1 Se 0.2479 0.0000 0.7353
Se2 Se 0.2576 0.5000 0.2655
```

***

A relaxed structure of Na2Ce3SmSe6. Source: Alexandria, functional PBE-GGA.

For the total energy, the calculation gives -0.2029 Ha/atom. For the density of states at the Fermi level, the calculation gives 42.8 states/eV/cell. The total magnetization is 3.8 μB/f.u. The calculation puts the raw formation energy at -1681 meV per atom.

Cell and atoms, written as CIF:
```
data_Na2Ce3SmSe6
_chemical_formula_sum 'Na4 Ce6 Sm2 Se12'
_cell_length_a 7.3184
_cell_length_b 12.6674
_cell_length_c 7.3388
_cell_angle_alpha 90.00
_cell_angle_beta 109.33
_cell_angle_gamma 90.00
_symmetry_space_group_name_H-M 'C 1 2/m 1'
_symmetry_Int_Tables_number 12
loop_
_symmetry_equiv_pos_as_xyz
'x,y,z'
'-x,-y,-z'
'-x,y,-z'
'x,-y,z'
'x+1/2,y+1/2,z'
'-x+1/2,-y+1/2,-z'
'-x+1/2,y+1/2,-z'
'x+1/2,-y+1/2,z'
loop_
_atom_site_label
_atom_site_type_symbol
_atom_site_fract_x
_atom_site_fract_y
_atom_site_fract_z
Na1 Na 0.0000 0.1659 0.0000
Ce1 Ce 0.0000 0.0000 0.5000
Ce2 Ce 0.0000 0.3303 0.5000
Sm1 Sm 0.0000 0.5000 0.0000
Se1 Se 0.2442 0.5000 0.7479
Se2 Se 0.2473 0.3356 0.2481
```

***

A relaxed structure of Na3CeSm3Se8. Source: Alexandria, functional PBE-GGA.

For the total energy, the calculation gives -0.1885 Ha/atom. The total magnetization is 0.0 μB/f.u. The calculation puts the raw formation energy at -1666 meV per atom.

Cell and atoms, written as CIF:
```
data_Na3CeSm3Se8
_chemical_formula_sum 'Na9 Ce3 Sm9 Se24'
_cell_length_a 8.4645
_cell_length_b 8.4645
_cell_length_c 21.0106
_cell_angle_alpha 90.00
_cell_angle_beta 90.00
_cell_angle_gamma 120.00
_symmetry_space_group_name_H-M 'R -3 m'
_symmetry_Int_Tables_number 166
_symmetry_space_group_name_Hall '-R 3 2"'
loop_
_atom_site_label
_atom_site_type_symbol
_atom_site_fract_x
_atom_site_fract_y
_atom_site_fract_z
Na1 Na 0.0000 0.5000 0.0000
Ce1 Ce 0.0000 0.0000 0.5000
Sm1 Sm 0.0000 0.5000 0.5000
Se1 Se 0.0000 0.0000 0.2448
Se2 Se 0.0058 0.5029 0.2424
```

***

A relaxed structure of NaCe2Sm3Se6. Source: Alexandria, functional PBE-GGA.

For the total energy, the calculation gives -0.2131 Ha/atom. For the density of states at the Fermi level, the calculation gives 29.6 states/eV/cell. The total magnetization is 2.1 μB/f.u. The calculation puts the raw formation energy at -1779 meV per atom.

Cell and atoms, written as CIF:
```
data_NaCe2Sm3Se6
_chemical_formula_sum 'Na2 Ce4 Sm6 Se12'
_cell_length_a 18.3146
_cell_length_b 4.1681
_cell_length_c 8.4346
_cell_angle_alpha 90.00
_cell_angle_beta 103.63
_cell_angle_gamma 90.00
_symmetry_space_group_name_H-M 'C 1 2/m 1'
_symmetry_Int_Tables_number 12
loop_
_symmetry_equiv_pos_as_xyz
'x,y,z'
'-x,-y,-z'
'-x,y,-z'
'x,-y,z'
'x+1/2,y+1/2,z'
'-x+1/2,-y+1/2,-z'
'-x+1/2,y+1/2,-z'
'x+1/2,-y+1/2,z'
loop_
_atom_site_label
_atom_site_type_symbol
_atom_site_fract_x
_atom_site_fract_y
_atom_site_fract_z
Na1 Na 0.0000 0.0000 0.0000
Ce1 Ce 0.1676 0.5000 0.3366
Sm1 Sm 0.0000 0.0000 0.5000
Sm2 Sm 0.1655 0.5000 0.8276
Se1 Se 0.0004 0.5000 0.2512
Se2 Se 0.1648 0.0000 0.5844
Se3 Se 0.1667 0.0000 0.0800
```